# 1
This record from the Alexandria database describes La2RhAu after structural relaxation. The functional is PBE.

The structure in POSCAR format:
```
La2RhAu
1.0
-1.006 -1.090 -3.399
-2.922 -1.769 1.432
-6.555 4.556 0.478
La Rh Au
2 1 1
Direct
0.000 0.023 0.017 La
0.000 0.477 0.483 La
0.500 0.250 0.250 Rh
0.500 0.750 0.750 Au
```

Properties
As for the total magnetization: 0.00 μB/cell. The density of states at the Fermi level is 0.87 states/eV/atom. Its formation energy is -3.0 eV per formula unit.



# 2
This record from the Alexandria database describes Pr7NdDy2 after structural relaxation. The functional is PBE.

The structure in POSCAR format:
```
Pr7NdDy2
1.0
-1.959 0.084 2.944
-2.506 -10.161 -1.379
8.781 0.629 5.825
Dy Pr Nd
2 7 1
Direct
0.500 0.167 0.833 Dy
0.500 0.833 0.167 Dy
0.500 0.125 0.386 Pr
0.500 0.875 0.614 Pr
0.500 0.614 0.875 Pr
0.500 0.386 0.125 Pr
0.000 0.678 0.322 Pr
0.000 0.322 0.678 Pr
0.500 0.500 0.500 Pr
0.000 0.000 0.000 Nd
```

Properties
As for the total magnetization: 0.00 μB/cell. The distance to the lowest polymorph of the same formula is 0.000 eV per atom. The density of states at the Fermi level is 1.58 states/eV/atom. Its formation energy is 3.6 eV per formula unit.



# 3
This record from the Alexandria database describes TmZnGePt3 after structural relaxation. The functional is PBE.

The structure in POSCAR format:
```
TmZnGePt3
1.0
5.587 0.000 0.000
0.000 6.800 0.000
0.000 -3.400 5.900
Pt Zn Tm Ge
6 2 2 2
Direct
0.750 0.834 0.669 Pt
0.000 0.290 0.000 Pt
0.250 0.166 0.331 Pt
0.500 0.290 0.000 Pt
0.000 0.710 0.000 Pt
0.500 0.710 0.000 Pt
0.250 0.937 0.873 Zn
0.750 0.063 0.127 Zn
0.750 0.307 0.614 Tm
0.250 0.693 0.386 Tm
0.250 0.368 0.736 Ge
0.750 0.632 0.264 Ge
```

Properties
As for the total magnetization: 0.00 μB/cell. The density of states at the Fermi level is 0.32 states/eV/atom. Its formation energy is -3.8 eV per formula unit.



# 4
This record from the Alexandria database describes ReHgIr2Au after structural relaxation. The functional is PBE.

The structure in POSCAR format:
```
ReHgIr2Au
1.0
4.924 0.000 0.000
0.000 4.978 0.000
0.000 0.000 4.924
Hg Ir Re Au
1 2 1 1
Direct
0.000 0.000 0.000 Hg
0.500 0.000 0.000 Ir
0.000 0.000 0.500 Ir
0.000 0.500 0.000 Re
0.500 0.500 0.500 Au
```

Properties
As for the total magnetization: 4.03 μB/cell. The density of states at the Fermi level is 1.10 states/eV/atom. Its formation energy is 13.7 eV per formula unit.



# 5
This record from the Alexandria database describes GaPd6Au2 after structural relaxation. The functional is PBE.

The structure in POSCAR format:
```
GaPd6Au2
1.0
2.791 0.000 -0.390
0.000 7.548 0.000
-1.843 -3.774 7.238
Pd Au Ga
6 2 1
Direct
0.500 0.303 0.000 Pd
0.680 0.663 0.679 Pd
0.500 0.697 0.000 Pd
0.680 0.016 0.679 Pd
0.320 0.984 0.321 Pd
0.320 0.337 0.321 Pd
0.858 0.680 0.359 Au
0.142 0.320 0.641 Au
0.000 0.000 0.000 Ga
```

Properties
As for the total magnetization: 0.00 μB/cell. The distance to the lowest polymorph of the same formula is 0.071 eV per atom. The density of states at the Fermi level is 0.59 states/eV/atom. Its formation energy is -1.5 eV per formula unit.



# 6
This record from the Alexandria database describes NaScSnPd after structural relaxation. The functional is PBE.

The structure in POSCAR format:
```
NaScSnPd
1.0
4.882 0.000 0.000
2.441 4.228 0.000
2.441 1.409 3.987
Sc Sn Na Pd
1 1 1 1
Direct
0.000 0.000 0.000 Sc
0.250 0.250 0.250 Sn
0.500 0.500 0.500 Na
0.750 0.750 0.750 Pd
```

Properties
As for the total magnetization: 0.00 μB/cell. The density of states at the Fermi level is 0.31 states/eV/atom. Its formation energy is -1.6 eV per formula unit.



# 7
This record from the Alexandria database describes La6Sm2Er after structural relaxation. The functional is PBE.

The structure in POSCAR format:
```
La6Sm2Er
1.0
3.704 0.000 0.001
0.000 9.282 4.235
-0.001 1.702 10.060
La Sm Er
6 2 1
Direct
0.000 0.493 0.836 La
0.000 0.164 0.507 La
0.500 0.680 0.320 La
0.000 0.836 0.493 La
0.000 0.507 0.164 La
0.500 0.320 0.680 La
0.500 0.171 0.171 Sm
0.500 0.829 0.829 Sm
0.000 0.000 0.000 Er
```

Properties
As for the total magnetization: 0.00 μB/cell. The density of states at the Fermi level is 1.51 states/eV/atom. Its formation energy is 1.1 eV per formula unit.



# 8
This record from the Alexandria database describes Cs2SrTeBr6 after structural relaxation. The functional is PBE.

The structure in POSCAR format:
```
Cs2SrTeBr6
1.0
8.160 0.000 0.000
0.000 8.160 0.000
4.080 4.080 6.963
Br Cs Te Sr
6 2 1 1
Direct
0.762 0.762 0.000 Br
0.762 0.238 0.000 Br
0.238 0.238 0.000 Br
0.287 0.287 0.427 Br
0.713 0.713 0.573 Br
0.238 0.762 0.000 Br
0.750 0.250 0.500 Cs
0.250 0.750 0.500 Cs
0.000 0.000 0.000 Te
0.500 0.500 0.000 Sr
```

Properties
As for the total magnetization: 0.00 μB/cell. The uncorrected formation energy is -1355 meV per atom. The density of states at the Fermi level is 0.00 states/eV/atom.



# 9
This record from the Alexandria database describes Rb2PrSnSe4 after structural relaxation. The functional is PBE.

The structure in POSCAR format:
```
Rb2PrSnSe4
1.0
4.325 0.000 0.000
0.000 8.384 -0.484
0.000 2.645 7.081
Pr Sn Rb Se
1 1 2 4
Direct
0.000 0.500 0.500 Pr
0.500 0.500 0.000 Sn
0.000 0.000 0.000 Rb
0.500 0.000 0.500 Rb
0.000 0.696 0.774 Se
0.000 0.304 0.225 Se
0.500 0.300 0.741 Se
0.500 0.700 0.259 Se
```

Properties
As for the total magnetization: 0.00 μB/cell. The uncorrected formation energy is -1201 meV per atom. The density of states at the Fermi level is 0.42 states/eV/atom.



# 10
This record from the Alexandria database describes Ca2ReW after structural relaxation. The functional is PBE.

The structure in POSCAR format:
```
Ca2ReW
1.0
4.064 -2.863 -0.335
-0.406 -4.953 0.355
0.713 -2.852 -4.022
Ca W Re
2 1 1
Direct
0.750 0.750 0.750 Ca
0.250 0.250 0.250 Ca
0.000 0.000 0.000 W
0.500 0.500 0.500 Re
```

Properties
As for the total magnetization: 1.71 μB/cell. The distance to the lowest polymorph of the same formula is 1.162 eV per atom. The density of states at the Fermi level is 1.82 states/eV/atom. Its formation energy is 6.1 eV per formula unit.



# 11
This record from the Alexandria database describes Ba2YPuS6 after structural relaxation. The functional is PBE.

The structure in POSCAR format:
```
Ba2YPuS6
1.0
7.202 0.000 -0.024
0.000 7.458 0.000
0.030 0.000 10.334
S Ba Y Pu
12 4 2 2
Direct
0.710 0.300 0.957 S
0.290 0.700 0.043 S
0.081 0.482 0.755 S
0.919 0.518 0.245 S
0.581 0.018 0.255 S
0.210 0.200 0.457 S
0.198 0.211 0.044 S
0.698 0.289 0.544 S
0.802 0.789 0.956 S
0.790 0.800 0.543 S
0.302 0.711 0.456 S
0.419 0.982 0.745 S
0.984 0.060 0.749 Ba
0.484 0.440 0.249 Ba
0.016 0.940 0.251 Ba
0.516 0.560 0.751 Ba
0.000 0.500 0.500 Y
0.500 0.000 0.000 Y
0.000 0.500 0.000 Pu
0.500 0.000 0.500 Pu
```

Properties
As for the total magnetization: 6.00 μB/cell. The uncorrected formation energy is -1778 meV per atom. The density of states at the Fermi level is 0.96 states/eV/atom.



# 12
This record from the Alexandria database describes SmGdGa2 after structural relaxation. The functional is PBE.

The structure in POSCAR format:
```
SmGdGa2
1.0
-1.295 -2.065 -2.679
2.022 -2.772 1.160
-5.460 -2.177 4.317
Sm Gd Ga
1 1 2
Direct
0.500 0.500 0.500 Sm
0.500 0.500 0.000 Gd
0.000 0.000 0.753 Ga
0.000 0.000 0.247 Ga
```

Properties
As for the total magnetization: 7.14 μB/cell. The distance to the lowest polymorph of the same formula is 0.000 eV per atom. The density of states at the Fermi level is 0.50 states/eV/atom. Its formation energy is -2.3 eV per formula unit.